# 1
Below is a relaxed NaYNiPb crystal, with properties calculated at the PBE level. Values from VASP.

Summary:
Symmetry: F-43m, No. 216
Energy above the lowest structure with this stoichiometry, meV per atom: 135

```
&SYSTEM
  ibrav = 0, nat = 4, ntyp = 4
/
ATOMIC_SPECIES
Na 22.99 Na.upf
Y 88.91 Y.upf
Ni 58.69 Ni.upf
Pb 207.20 Pb.upf
CELL_PARAMETERS angstrom
-3.868 -2.876 1.465
-3.605 1.934 2.940
-4.604 0.826 -1.871
ATOMIC_POSITIONS crystal
Na 0.750 0.750 0.750
Y 0.250 0.250 0.250
Ni 0.000 0.000 0.000
Pb 0.500 0.500 0.500
```

=====

# 2
Below is a relaxed DyTaPd crystal, with properties calculated at the PBE level. Values from VASP.

Summary:
Symmetry: F-43m, No. 216
Energy above the lowest structure with this stoichiometry, meV per atom: 0

```
&SYSTEM
  ibrav = 0, nat = 3, ntyp = 3
/
ATOMIC_SPECIES
Ta 180.95 Ta.upf
Pd 106.42 Pd.upf
Dy 162.50 Dy.upf
CELL_PARAMETERS angstrom
0.000 3.267 3.267
3.267 0.000 3.267
3.267 3.267 0.000
ATOMIC_POSITIONS crystal
Ta 0.000 0.000 0.000
Pd 0.250 0.250 0.250
Dy 0.500 0.500 0.500
```

=====

# 3
Below is a relaxed TcAsW2 crystal, with properties calculated at the PBE level. Values from VASP.

Summary:
Symmetry: F-43m, No. 216
Raw total energy, eV per atom: -9.877

```
&SYSTEM
  ibrav = 0, nat = 4, ntyp = 3
/
ATOMIC_SPECIES
W 183.84 W.upf
Tc 98.00 Tc.upf
As 74.92 As.upf
CELL_PARAMETERS angstrom
0.000 3.140 3.140
3.140 0.000 3.140
3.140 3.140 0.000
ATOMIC_POSITIONS crystal
W 0.000 0.000 0.000
W 0.750 0.750 0.750
Tc 0.250 0.250 0.250
As 0.500 0.500 0.500
```

=====

# 4
Below is a relaxed Hg2Ir9 crystal, with properties calculated at the PBE level. Values from VASP.

Summary:
Symmetry: P-3m1, No. 164
Raw total energy, eV per atom: -7.132

```
&SYSTEM
  ibrav = 0, nat = 11, ntyp = 2
/
ATOMIC_SPECIES
Ir 192.22 Ir.upf
Hg 200.59 Hg.upf
CELL_PARAMETERS angstrom
-1.503 -2.317 0.187
2.761 -0.127 0.146
-1.713 4.003 35.877
ATOMIC_POSITIONS crystal
Ir 0.667 0.333 0.377
Ir 0.333 0.667 0.438
Hg 0.667 0.333 0.181
Hg 0.333 0.667 0.819
Ir 0.333 0.667 0.255
Ir 0.667 0.333 0.562
Ir 0.000 0.000 0.684
Ir 0.333 0.667 0.623
Ir 0.000 0.000 0.500
Ir 0.667 0.333 0.745
Ir 0.000 0.000 0.316
```